(1)
# PBE Sm3O, optimized geometry
# E_form (uncorrected) = -1.0999 eV per atom
# D(E_F) = 0.983 states/eV per atom
# E above lowest polymorph = 0.000 eV per atom
# Calculated density = 7.02 g/cm³
# Space group = Pmm2 (25)
data_Sm3O
_space_group_name_H-M_alt 'P 1'
_space_group_IT_number 1
_cell_length_a 3.380
_cell_length_b 3.385
_cell_length_c 9.659
_cell_angle_alpha 90.00
_cell_angle_beta 90.00
_cell_angle_gamma 90.00
loop_
_space_group_symop_operation_xyz
'x,y,z'
loop_
_atom_site_label
_atom_site_type_symbol
_atom_site_fract_x
_atom_site_fract_y
_atom_site_fract_z
O1 O 0.000 0.000 0.076
Sm1 Sm 0.000 0.500 0.451
Sm2 Sm 0.500 0.500 0.084
Sm3 Sm 0.500 0.000 0.722

(2)
# PBE Sm2O3, optimized geometry
# E_form (uncorrected) = -3.2270 eV per atom
# D(E_F) = 0.000 states/eV per atom
# Calculated density = 6.71 g/cm³
# Space group = P-4m2 (115)
data_Sm2O3
_space_group_name_H-M_alt 'P 1'
_space_group_IT_number 1
_cell_length_a 3.886
_cell_length_b 3.886
_cell_length_c 5.713
_cell_angle_alpha 90.00
_cell_angle_beta 90.00
_cell_angle_gamma 90.00
loop_
_space_group_symop_operation_xyz
'x,y,z'
loop_
_atom_site_label
_atom_site_type_symbol
_atom_site_fract_x
_atom_site_fract_y
_atom_site_fract_z
Sm1 Sm 0.500 0.000 0.786
Sm2 Sm 0.000 0.500 0.214
O1 O 0.000 0.000 0.000
O2 O 0.500 0.500 0.000
O3 O 0.000 0.000 0.500

(3)
# PBE Sm3O, optimized geometry
# E_form (uncorrected) = -1.0399 eV per atom
# D(E_F) = 0.846 states/eV per atom
# E above lowest polymorph = 0.060 eV per atom
# Calculated density = 7.62 g/cm³
# Space group = Imm2 (44)
data_Sm3O
_space_group_name_H-M_alt 'P 1'
_space_group_IT_number 1
_cell_length_a 3.289
_cell_length_b 6.093
_cell_length_c 6.146
_cell_angle_alpha 119.72
_cell_angle_beta 105.52
_cell_angle_gamma 90.00
loop_
_space_group_symop_operation_xyz
'x,y,z'
loop_
_atom_site_label
_atom_site_type_symbol
_atom_site_fract_x
_atom_site_fract_y
_atom_site_fract_z
O1 O 0.000 0.061 0.000
Sm1 Sm 0.335 0.709 0.671
Sm2 Sm 0.500 0.358 0.000
Sm3 Sm 0.665 0.038 0.329

- Among the records above, which one has the lowest calculated density?
  Sm2O3

- What is the D(E_F) in the first record?
  0.983 states/eV per atom